The following is a PBE calculation of Tm5UBi6 after structural relaxation, from Alexandria.

Cell and atoms, written as POSCAR:
```
Tm5UBi6
1.0
3.8510 -6.6733 0.0000
3.8510 6.6733 0.0000
-2.5710 0.0000 7.2656
Tm U Bi
5 1 6
direct
0.0000 0.0000 0.0000
0.1671 0.8329 0.5000
0.3349 0.6651 0.0000
0.6651 0.3349 0.0000
0.8329 0.1671 0.5000
0.5000 0.5000 0.5000
0.0791 0.4156 0.2471
0.2467 0.2467 0.7504
0.4156 0.0791 0.2471
0.5844 0.9209 0.7529
0.7533 0.7533 0.2496
0.9209 0.5844 0.7529
```

Computed properties:
* space-group type: C2/m (12)
* energy relative to the elements: -613.4 meV per atom



The following is a PBE calculation of TmUBi2 after structural relaxation, from Alexandria.

Cell and atoms, written as POSCAR:
```
TmUBi2
1.0
5.3785 0.0000 0.0000
0.0000 5.3785 0.0000
0.0000 0.0000 3.8994
Tm U Bi
1 1 2
direct
0.0000 0.0000 0.0000
0.5000 0.5000 0.0000
0.0000 0.5000 0.5000
0.5000 0.0000 0.5000
```

Computed properties:
* space-group type: P4/mmm (123)
* energy relative to the elements: -172.0 meV per atom
* E above lowest polymorph: 0.133 eV/atom